Material: MgZnNi6
Method: DFT, PBEsol
State: optimized geometry

The structure in POSCAR format:
```
MgZnNi6
1.0
3.545 -5.021 0.000
3.545 5.021 0.000
0.000 0.000 10.043
Mg Zn Ni
4 4 24
direct
0.000 0.000 0.249
0.000 0.000 0.751
0.246 0.754 0.500
0.754 0.246 0.500
0.245 0.755 0.000
0.500 0.500 0.248
0.500 0.500 0.752
0.755 0.245 0.000
0.000 0.000 0.000
0.000 0.000 0.500
0.128 0.381 0.123
0.128 0.381 0.877
0.132 0.379 0.373
0.132 0.379 0.627
0.252 0.748 0.246
0.252 0.748 0.754
0.379 0.132 0.373
0.379 0.132 0.627
0.381 0.128 0.123
0.381 0.128 0.877
0.500 0.500 0.000
0.500 0.500 0.500
0.619 0.872 0.123
0.619 0.872 0.877
0.621 0.868 0.373
0.621 0.868 0.627
0.748 0.252 0.246
0.748 0.252 0.754
0.868 0.621 0.373
0.868 0.621 0.627
0.872 0.619 0.123
0.872 0.619 0.877
```

Summary:
- N(E_F): 1.006 states/eV per atom
- Energy relative to the elements: -0.0783 eV per atom
- Symmetry: Cmmm

Material: MnFeOs2Au
Method: DFT, PBEsol
State: optimized geometry

The structure in POSCAR format:
```
MnFeOs2Au
1.0
4.317 0.000 0.000
0.000 4.317 0.000
0.000 0.000 4.680
Mn Fe Os Au
1 1 2 1
direct
0.000 0.000 0.000
0.500 0.500 0.500
0.000 0.500 0.500
0.500 0.000 0.500
0.500 0.500 0.000
```

Summary:
- N(E_F): 1.338 states/eV per atom
- Energy relative to the elements: 1.6535 eV per atom
- Symmetry: P4/mmm